[1]
A plane-wave DFT calculation with PBE was carried out for crystalline Re2SbP at its relaxed geometry.

Structure (POSCAR):
```
Re2SbP
1.0
-3.505 -2.456 0.559
1.283 -0.917 4.018
-5.181 4.752 5.057
Re Sb P
4 2 2
Direct
0.544 0.125 0.250
0.875 0.794 0.750
0.206 0.625 0.250
0.375 0.456 0.750
0.750 0.250 0.500
0.000 0.000 0.000
0.500 0.500 0.000
0.250 0.750 0.500
```

Output
energy above the most stable polymorph in this dataset: 408.7 meV per atom
crystal system: tetragonal
N(E_F): 8.51 states/eV/cell
calculated volume: 18.872 Å³/atom
formation energy from raw total energies: 51 kJ/mol of atoms

=====

[2]
A plane-wave DFT calculation with PBE was carried out for crystalline Re2SbP2 at its relaxed geometry.

Structure (POSCAR):
```
Re2SbP2
1.0
-0.286 -2.148 3.088
3.238 -1.716 -0.894
4.448 2.079 4.161
P Sb Re
2 1 2
Direct
0.750 0.250 0.500
0.250 0.750 0.500
0.000 0.000 0.000
0.375 0.375 0.250
0.625 0.625 0.750
```

Output
crystal system: tetragonal
N(E_F): 2.55 states/eV/cell
calculated volume: 16.667 Å³/atom
formation energy from raw total energies: 11 kJ/mol of atoms

=====

[3]
A plane-wave DFT calculation with PBE was carried out for crystalline Re2SbP at its relaxed geometry.

Structure (POSCAR):
```
Re2SbP
1.0
-3.804 1.084 2.741
-1.565 4.261 -1.597
0.934 -4.025 -2.466
Re P Sb
2 1 1
Direct
0.000 0.000 0.000
0.250 0.750 0.500
0.750 0.250 0.500
0.500 0.500 0.000
```

Output
energy above the most stable polymorph in this dataset: 581.7 meV per atom
crystal system: tetragonal
N(E_F): 3.04 states/eV/cell
calculated volume: 16.244 Å³/atom
formation energy from raw total energies: 68 kJ/mol of atoms

=====

[4]
A plane-wave DFT calculation with PBE was carried out for crystalline ReSb2P at its relaxed geometry.

Structure (POSCAR):
```
ReSb2P
1.0
-7.698 0.319 -1.547
-6.847 -2.896 -2.547
-7.492 -2.232 0.801
Re Sb P
1 2 1
Direct
0.000 0.000 0.000
0.750 0.750 0.750
0.250 0.250 0.250
0.500 0.500 0.500
```

Output
crystal system: trigonal
N(E_F): 2.81 states/eV/cell
calculated volume: 19.843 Å³/atom
formation energy from raw total energies: 51 kJ/mol of atoms

=====

[5]
A plane-wave DFT calculation with PBE was carried out for crystalline ReSb2P at its relaxed geometry.

Structure (POSCAR):
```
ReSb2P
1.0
1.610 -2.589 0.000
1.610 2.589 0.000
0.000 0.000 9.793
Sb Re P
2 1 1
Direct
0.000 0.000 0.770
0.000 0.000 0.230
0.500 0.500 0.000
0.500 0.500 0.500
```

Output
crystal system: orthorhombic
N(E_F): 3.56 states/eV/cell
calculated volume: 20.408 Å³/atom
formation energy from raw total energies: 81 kJ/mol of atoms

=====

[6]
A plane-wave DFT calculation with PBE was carried out for crystalline Re2SbP at its relaxed geometry.

Structure (POSCAR):
```
Re2SbP
1.0
-1.562 1.954 5.363
1.562 -1.954 5.363
1.562 1.954 -5.363
Re Sb P
2 1 1
Direct
0.949 0.949 0.000
0.227 0.727 0.500
0.541 0.541 0.000
0.783 0.283 0.500
```

Output
energy above the most stable polymorph in this dataset: 258.2 meV per atom
crystal system: orthorhombic
N(E_F): 3.23 states/eV/cell
calculated volume: 16.370 Å³/atom
formation energy from raw total energies: 37 kJ/mol of atoms

=====

[7]
A plane-wave DFT calculation with PBE was carried out for crystalline Re2SbP at its relaxed geometry.

Structure (POSCAR):
```
Re2SbP
1.0
-1.542 3.040 7.401
-4.315 3.169 6.143
-3.336 0.576 7.412
Sb Re P
1 2 1
Direct
0.000 0.000 0.000
0.761 0.761 0.761
0.239 0.239 0.239
0.500 0.500 0.500
```

Output
energy above the most stable polymorph in this dataset: 258.3 meV per atom
crystal system: trigonal
N(E_F): 3.90 states/eV/cell
calculated volume: 15.999 Å³/atom
formation energy from raw total energies: 37 kJ/mol of atoms

=====

[8]
A plane-wave DFT calculation with PBE was carried out for crystalline Re2SbP at its relaxed geometry.

Structure (POSCAR):
```
Re2SbP
1.0
1.505 -2.480 0.000
1.505 2.480 0.000
0.000 0.000 9.750
Re Sb P
2 1 1
Direct
0.000 0.000 0.002
0.500 0.500 0.776
0.000 0.000 0.528
0.500 0.500 0.194
```

Output
energy above the most stable polymorph in this dataset: 446.8 meV per atom
crystal system: orthorhombic
N(E_F): 3.67 states/eV/cell
calculated volume: 18.202 Å³/atom
formation energy from raw total energies: 55 kJ/mol of atoms

=====

Repeat the fifth record exactly.
A plane-wave DFT calculation with PBE was carried out for crystalline ReSb2P at its relaxed geometry.

Structure (POSCAR):
```
ReSb2P
1.0
1.610 -2.589 0.000
1.610 2.589 0.000
0.000 0.000 9.793
Sb Re P
2 1 1
Direct
0.000 0.000 0.770
0.000 0.000 0.230
0.500 0.500 0.000
0.500 0.500 0.500
```

Output
crystal system: orthorhombic
N(E_F): 3.56 states/eV/cell
calculated volume: 20.408 Å³/atom
formation energy from raw total energies: 81 kJ/mol of atoms

=====

Please write out number 3 again, unchanged.
A plane-wave DFT calculation with PBE was carried out for crystalline Re2SbP at its relaxed geometry.

Structure (POSCAR):
```
Re2SbP
1.0
-3.804 1.084 2.741
-1.565 4.261 -1.597
0.934 -4.025 -2.466
Re P Sb
2 1 1
Direct
0.000 0.000 0.000
0.250 0.750 0.500
0.750 0.250 0.500
0.500 0.500 0.000
```

Output
energy above the most stable polymorph in this dataset: 581.7 meV per atom
crystal system: tetragonal
N(E_F): 3.04 states/eV/cell
calculated volume: 16.244 Å³/atom
formation energy from raw total energies: 68 kJ/mol of atoms

=====

> Which value of formation energy from raw total energies does entry 7 give?

37 kJ/mol of atoms